Record 1
DFT (GGA-PBE) results for TbNdDy2Sc4 after structural relaxation.

Properties
V = 225.2 Å³/cell
magnetization = 0.0 μB per formula unit
energy relative to the elements = 0.061 eV per atom

a b c (Å): 3.442 5.951 11.171
angles (deg): 79.76 90.00 90.00
Atoms (fractional coordinates):
1 Dy 0.500 0.000 0.500
2 Sc 0.000 0.249 0.251
3 Sc 0.500 0.250 0.749
4 Sc 0.000 0.751 0.749
5 Tb 0.000 0.500 0.500
6 Sc 0.500 0.750 0.251
7 Dy 0.000 0.000 0.000
8 Nd 0.500 0.500 0.000

***

Record 2
DFT (GGA-PBE) results for Pm12Si2Sn5 after structural relaxation.

Properties
V = 661.8 Å³/cell
raw formation energy = -0.4051 eV per atom
magnetization = 0.1 μB per formula unit

a b c (Å): 7.963 9.630 9.846
angles (deg): 104.28 90.00 114.42
Atoms (fractional coordinates):
1 Pm 0.906 0.336 0.092
2 Sn 0.316 0.631 0.166
3 Sn 0.684 0.369 0.834
4 Pm 0.094 0.664 0.908
5 Pm 0.430 0.336 0.092
6 Pm 0.599 0.710 0.434
7 Sn 0.296 0.593 0.638
8 Si 0.727 0.000 0.000
9 Pm 0.505 0.010 0.238
10 Si 0.273 0.000 0.000
11 Pm 0.111 0.710 0.434
12 Sn 0.000 0.000 0.500
13 Pm 0.495 0.990 0.762
14 Sn 0.704 0.407 0.362
15 Pm 0.401 0.290 0.566
16 Pm 0.889 0.290 0.566
17 Pm 0.570 0.664 0.908
18 Pm 0.018 0.037 0.823
19 Pm 0.982 0.963 0.177

***

Record 3
DFT (GGA-PBE) results for CaAl4Se7 after structural relaxation.

Properties
V = 681.2 Å³/cell
raw formation energy = -1.0224 eV per atom
magnetization = 0.0 μB per formula unit

a b c (Å): 6.454 6.631 15.916
angles (deg): 90.00 90.00 90.00
Atoms (fractional coordinates):
1 Ca 0.812 0.072 0.000
2 Se 0.984 0.192 0.750
3 Se 0.461 0.807 0.000
4 Se 0.515 0.301 0.117
5 Se 0.977 0.731 0.885
6 Al 0.101 0.840 0.249
7 Se 0.984 0.192 0.250
8 Al 0.101 0.840 0.751
9 Se 0.477 0.269 0.615
10 Al 0.115 0.350 0.379
11 Se 0.015 0.699 0.383
12 Al 0.601 0.160 0.251
13 Se 0.477 0.269 0.385
14 Al 0.115 0.350 0.621
15 Se 0.484 0.808 0.250
16 Se 0.515 0.301 0.883
17 Ca 0.312 0.928 0.500
18 Se 0.484 0.808 0.750
19 Al 0.615 0.650 0.121
20 Se 0.961 0.193 0.500
21 Al 0.615 0.650 0.879
22 Se 0.015 0.699 0.617
23 Al 0.601 0.160 0.749
24 Se 0.977 0.731 0.115